BeCrIr after structural relaxation, computed with PBE-GGA.

The space group is P3m1 (No. 156) and the conventional cell measures 2.6485, 2.6485 and 5.9625 Å, with angles of 90.00, 90.00 and 120.00 degrees. The distinct sites, in fractional coordinates, are Be at (0.0000, 0.0000, 0.0000), Cr at (0.6667, 0.3333, 0.3244) and Ir at (0.3333, 0.6667, 0.6718).

The formation energy comes out at 0.01 eV/atom. For the energy above the most stable polymorph in this dataset, the calculation gives 301 meV/atom.

TbPmHg4 after structural relaxation, computed with PBE-GGA.

The space group is C2/m (No. 12) and the conventional cell measures 10.8020, 3.9068 and 7.8654 Å, with angles of 90.00, 111.03 and 90.00 degrees. The distinct sites, in fractional coordinates, are Tb at (0.0000, 0.0000, 0.0000), Pm at (0.0000, 0.0000, 0.5000), Hg at (0.1680, 0.5000, 0.3282) and Hg at (0.1685, 0.5000, 0.8399).

The formation energy comes out at -0.35 eV/atom. For the energy above the most stable polymorph in this dataset, the calculation gives 0 meV/atom.